This record from Alexandria describes an optimized crystal structure of TaTiPdAu. The functional is PBE.

Unit cell a=3.3024 b=3.3024 c=6.1813 alpha=90.00 beta=90.00 gamma=90.00
Atoms (fractional coordinates):
1 Ta 0.0000 0.0000 0.0000
2 Ti 0.5000 0.5000 0.7272
3 Pd 0.5000 0.5000 0.2267
4 Au 0.0000 0.0000 0.4974

Properties
Space group = P4mm
Spin magnetization = 0.0000 μB/atom
Uncorrected energy = -29.79 eV per cell
Energy of formation from the pure elements = -0.394 eV per atom

=====

This record from Alexandria describes an optimized crystal structure of Pm2PrNd2Y4. The functional is PBE.

Unit cell a=9.6674 b=9.6674 c=9.7340 alpha=115.24 beta=115.24 gamma=21.85
Atoms (fractional coordinates):
1 Pm 0.1668 0.1668 0.0020
2 Pm 0.8332 0.8332 0.9980
3 Pr 0.5000 0.5000 0.0000
4 Nd 0.3522 0.3522 0.3347
5 Nd 0.6478 0.6478 0.6653
6 Y 0.0197 0.0197 0.3343
7 Y 0.3147 0.3147 0.6644
8 Y 0.6853 0.6853 0.3356
9 Y 0.9803 0.9803 0.6657

Properties
Space group = C2/m
Spin magnetization = 0.0000 μB/atom
Uncorrected energy = -49.69 eV per cell
Energy of formation from the pure elements = -0.002 eV per atom

=====

This record from Alexandria describes an optimized crystal structure of KLi3Pb. The functional is PBE.

Unit cell a=5.4011 b=5.4011 c=5.4011 alpha=90.00 beta=90.00 gamma=90.00
Atoms (fractional coordinates):
1 K 0.0000 0.0000 0.0000
2 Li 0.0000 0.5000 0.5000
3 Li 0.5000 0.0000 0.5000
4 Li 0.5000 0.5000 0.0000
5 Pb 0.5000 0.5000 0.5000

Properties
Space group = Pm-3m
Spin magnetization = 0.0000 μB/atom
Uncorrected energy = -11.28 eV per cell
Distance to the lowest polymorph of the same formula = 0.0 meV/atom
Energy of formation from the pure elements = -0.146 eV per atom

=====

This record from Alexandria describes an optimized crystal structure of PmSmCoIr. The functional is PBE.

Unit cell a=4.9232 b=4.9232 c=4.9232 alpha=60.00 beta=60.00 gamma=60.00
Atoms (fractional coordinates):
1 Pm 0.0000 0.0000 0.0000
2 Sm 0.5000 0.5000 0.5000
3 Co 0.7500 0.7500 0.7500
4 Ir 0.2500 0.2500 0.2500

Properties
Space group = F-43m
Spin magnetization = 0.1424 μB/atom
Uncorrected energy = -26.80 eV per cell
Energy of formation from the pure elements = -0.340 eV per atom

=====

This record from Alexandria describes an optimized crystal structure of Li2ZnGe. The functional is PBE.

Unit cell a=9.6534 b=9.6534 c=9.6534 alpha=17.16 beta=17.16 gamma=17.16
Atoms (fractional coordinates):
1 Li 0.0919 0.0919 0.0919
2 Li 0.9081 0.9081 0.9081
3 Zn 0.0000 0.0000 0.0000
4 Ge 0.5000 0.5000 0.5000

Properties
Space group = R-3m
Spin magnetization = 0.0000 μB/atom
Uncorrected energy = -9.87 eV per cell
Energy of formation from the pure elements = -0.038 eV per atom

=====

This record from Alexandria describes an optimized crystal structure of AlMoBr. The functional is PBE.

Unit cell a=6.8637 b=6.6234 c=3.0294 alpha=81.49 beta=72.62 gamma=25.88
Atoms (fractional coordinates):
1 Al 0.0000 0.0000 0.0000
2 Mo 0.6496 0.6496 0.3504
3 Br 0.3206 0.3206 0.6794

Properties
Space group = Fmm2
Spin magnetization = 0.0000 μB/atom
ΔE_f (raw) = 49.9 kJ per mole of atoms
Uncorrected energy = -14.70 eV per cell
Distance to the lowest polymorph of the same formula = 244.0 meV/atom

=====

This record from Alexandria describes an optimized crystal structure of PmErNiAu. The functional is PBE.

Unit cell a=4.6030 b=5.5427 c=5.5427 alpha=40.32 beta=90.00 gamma=90.00
Atoms (fractional coordinates):
1 Pm 0.0000 0.0000 0.0000
2 Er 0.5000 0.2810 0.2810
3 Ni 0.0000 0.7251 0.7251
4 Au 0.5000 0.5674 0.5674

Properties
Space group = Amm2
Spin magnetization = 0.0000 μB/atom
Uncorrected energy = -20.78 eV per cell
Distance to the lowest polymorph of the same formula = 0.0 meV/atom
Energy of formation from the pure elements = -0.602 eV per atom

=====

This record from Alexandria describes an optimized crystal structure of BaCoBr2. The functional is PBE.

Unit cell a=3.9512 b=3.9512 c=7.2399 alpha=90.00 beta=90.00 gamma=90.00
Atoms (fractional coordinates):
1 Ba 0.0000 0.0000 0.0000
2 Co 0.5000 0.5000 0.6302
3 Br 0.0000 0.0000 0.5793
4 Br 0.5000 0.5000 0.2482

Properties
Space group = P4mm
Spin magnetization = 0.3102 μB/atom
ΔE_f (raw) = -52.3 kJ per mole of atoms
Uncorrected energy = -14.54 eV per cell
Distance to the lowest polymorph of the same formula = 250.2 meV/atom

=====

This record from Alexandria describes an optimized crystal structure of Re2SiAu. The functional is PBE.

Unit cell a=3.8599 b=3.8599 c=4.0453 alpha=90.00 beta=90.00 gamma=90.00
Atoms (fractional coordinates):
1 Re 0.0000 0.5000 0.0000
2 Re 0.5000 0.0000 0.0000
3 Si 0.0000 0.0000 0.5000
4 Au 0.5000 0.5000 0.5000

Properties
Space group = P4/mmm
Spin magnetization = 0.0000 μB/atom
ΔE_f (raw) = 50.9 kJ per mole of atoms
Uncorrected energy = -31.49 eV per cell

=====

This record from Alexandria describes an optimized crystal structure of KCu3Ru4O12. The functional is PBE.

Unit cell a=6.4813 b=6.4813 c=6.4813 alpha=109.47 beta=109.47 gamma=109.47
Atoms (fractional coordinates):
1 K 0.0000 0.0000 0.0000
2 Cu 0.0000 0.5000 0.5000
3 Cu 0.5000 0.0000 0.5000
4 Cu 0.5000 0.5000 0.0000
5 Ru 0.0000 0.0000 0.5000
6 Ru 0.0000 0.5000 0.0000
7 Ru 0.5000 0.0000 0.0000
8 Ru 0.5000 0.5000 0.5000
9 O 0.1364 0.8220 0.3144
10 O 0.1780 0.3144 0.4923
11 O 0.1780 0.6856 0.8636
12 O 0.3144 0.1364 0.8220
13 O 0.3144 0.4923 0.1780
14 O 0.4923 0.1780 0.3144
15 O 0.5077 0.8220 0.6856
16 O 0.6856 0.5077 0.8220
17 O 0.6856 0.8636 0.1780
18 O 0.8220 0.3144 0.1364
19 O 0.8220 0.6856 0.5077
20 O 0.8636 0.1780 0.6856

Properties
Space group = Im-3
Spin magnetization = 0.0427 μB/atom
ΔE_f (raw) = -85.8 kJ per mole of atoms
Uncorrected energy = -127.77 eV per cell

=====

This record from Alexandria describes an optimized crystal structure of GdTm2In. The functional is PBE.

Unit cell a=3.5567 b=3.5567 c=9.0886 alpha=90.00 beta=90.00 gamma=90.00
Atoms (fractional coordinates):
1 Gd 0.0000 0.0000 0.0000
2 Tm 0.5000 0.5000 0.2745
3 Tm 0.5000 0.5000 0.7255
4 In 0.0000 0.0000 0.5000

Properties
Space group = P4/mmm
Spin magnetization = 1.8452 μB/atom
Uncorrected energy = -26.67 eV per cell
Distance to the lowest polymorph of the same formula = 43.0 meV/atom
Energy of formation from the pure elements = -0.227 eV per atom

=====

This record from Alexandria describes an optimized crystal structure of Ce2AlGa2Rh5. The functional is PBE.

Unit cell a=9.8576 b=9.8576 c=3.5501 alpha=90.00 beta=90.00 gamma=90.00
Atoms (fractional coordinates):
1 Ce 0.1744 0.3256 0.0000
2 Ce 0.3256 0.8256 0.0000
3 Ce 0.6744 0.1744 0.0000
4 Ce 0.8256 0.6744 0.0000
5 Al 0.0000 0.0000 0.0000
6 Al 0.5000 0.5000 0.0000
7 Ga 0.1244 0.6244 0.0000
8 Ga 0.3756 0.1244 0.0000
9 Ga 0.6244 0.8756 0.0000
10 Ga 0.8756 0.3756 0.0000
11 Rh 0.0000 0.5000 0.5000
12 Rh 0.0671 0.7976 0.5000
13 Rh 0.2024 0.0671 0.5000
14 Rh 0.2976 0.5671 0.5000
15 Rh 0.4329 0.2976 0.5000
16 Rh 0.5000 0.0000 0.5000
17 Rh 0.5671 0.7024 0.5000
18 Rh 0.7024 0.4329 0.5000
19 Rh 0.7976 0.9329 0.5000
20 Rh 0.9329 0.2024 0.5000

Properties
Space group = P4/mbm
Spin magnetization = 0.0874 μB/atom
Uncorrected energy = -131.86 eV per cell
Energy of formation from the pure elements = -0.751 eV per atom

=====

This record from Alexandria describes an optimized crystal structure of K2CaCd3Sn4. The functional is PBE.

Unit cell a=4.8830 b=4.8830 c=13.1543 alpha=90.00 beta=90.00 gamma=90.00
Atoms (fractional coordinates):
1 K 0.0000 0.5000 0.2412
2 K 0.5000 0.0000 0.7588
3 Ca 0.0000 0.0000 0.5000
4 Cd 0.0000 0.5000 0.8611
5 Cd 0.5000 0.0000 0.1389
6 Cd 0.5000 0.5000 0.5000
7 Sn 0.0000 0.0000 0.0000
8 Sn 0.0000 0.5000 0.6456
9 Sn 0.5000 0.0000 0.3544
10 Sn 0.5000 0.5000 0.0000

Properties
Space group = P-4m2
Spin magnetization = 0.0000 μB/atom
Uncorrected energy = -24.99 eV per cell
Energy of formation from the pure elements = -0.204 eV per atom

=====

This record from Alexandria describes an optimized crystal structure of NpUTlSe4. The functional is PBE.

Unit cell a=8.7434 b=8.7434 c=8.7434 alpha=120.37 beta=119.45 gamma=90.16
Atoms (fractional coordinates):
1 Np 0.0000 0.0000 0.0000
2 Np 0.5000 0.0000 0.5000
3 U 0.5000 0.0000 0.0000
4 U 0.5000 0.5000 0.5000
5 Tl 0.1242 0.3742 0.7500
6 Tl 0.8758 0.6258 0.2500
7 Se 0.2697 0.2360 0.4664
8 Se 0.2697 0.8033 0.0336
9 Se 0.2730 0.2346 0.0384
10 Se 0.3038 0.7654 0.5384
11 Se 0.6962 0.2346 0.4616
12 Se 0.7270 0.7654 0.9616
13 Se 0.7303 0.1967 0.9664
14 Se 0.7303 0.7640 0.5336

Properties
Space group = Imma
Spin magnetization = 0.8571 μB/atom
ΔE_f (raw) = -92.2 kJ per mole of atoms
Uncorrected energy = -94.45 eV per cell

=====

This record from Alexandria describes an optimized crystal structure of Ba5Sc4. The functional is PBE.

Unit cell a=10.8064 b=10.8064 c=7.1265 alpha=90.00 beta=90.00 gamma=120.00
Atoms (fractional coordinates):
1 Ba 0.0000 0.3571 0.2500
2 Ba 0.0000 0.6429 0.7500
3 Ba 0.3333 0.6667 0.0000
4 Ba 0.3333 0.6667 0.5000
5 Ba 0.3571 0.0000 0.2500
6 Ba 0.3571 0.3571 0.7500
7 Ba 0.6429 0.0000 0.7500
8 Ba 0.6429 0.6429 0.2500
9 Ba 0.6667 0.3333 0.0000
10 Ba 0.6667 0.3333 0.5000
11 Sc 0.0000 0.0000 0.0000
12 Sc 0.0000 0.0000 0.5000
13 Sc 0.0000 0.2466 0.7500
14 Sc 0.0000 0.7534 0.2500
15 Sc 0.2466 0.0000 0.7500
16 Sc 0.2466 0.2466 0.2500
17 Sc 0.7534 0.0000 0.2500
18 Sc 0.7534 0.7534 0.7500

Properties
Space group = P6_3/mcm
Spin magnetization = 0.0000 μB/atom
Uncorrected energy = -62.91 eV per cell
Distance to the lowest polymorph of the same formula = 63.3 meV/atom
Energy of formation from the pure elements = 0.387 eV per atom

=====

This record from Alexandria describes an optimized crystal structure of CoTeP2. The functional is PBE.

Unit cell a=4.4597 b=4.4597 c=4.4597 alpha=108.45 beta=108.45 gamma=111.54
Atoms (fractional coordinates):
1 Co 0.0000 0.0000 0.0000
2 Te 0.5000 0.5000 0.0000
3 P 0.0000 0.5000 0.5000
4 P 0.5000 0.0000 0.5000

Properties
Space group = I4/mmm
Spin magnetization = 0.2044 μB/atom
ΔE_f (raw) = 32.7 kJ per mole of atoms
Uncorrected energy = -19.71 eV per cell

=====

This record from Alexandria describes an optimized crystal structure of NaYAs2Pt. The functional is PBE.

Unit cell a=5.3091 b=5.3091 c=5.7143 alpha=90.00 beta=90.00 gamma=90.00
Atoms (fractional coordinates):
1 Na 0.0000 0.0000 0.0000
2 Y 0.0000 0.0000 0.5000
3 As 0.0000 0.5000 0.5000
4 As 0.5000 0.0000 0.5000
5 Pt 0.5000 0.5000 0.0000

Properties
Space group = P4/mmm
Spin magnetization = 0.0000 μB/atom
Uncorrected energy = -18.77 eV per cell
Energy of formation from the pure elements = 0.871 eV per atom

=====

This record from Alexandria describes an optimized crystal structure of Y2FeSb. The functional is PBE.

Unit cell a=3.7156 b=3.7350 c=6.8823 alpha=90.00 beta=90.00 gamma=90.00
Atoms (fractional coordinates):
1 Y 0.0000 0.0000 0.2368
2 Y 0.0000 0.0000 0.7632
3 Fe 0.5000 0.5000 0.0000
4 Sb 0.5000 0.5000 0.5000

Properties
Space group = Pmmm
Spin magnetization = 0.4261 μB/atom
ΔE_f (raw) = -32.8 kJ per mole of atoms
Uncorrected energy = -26.87 eV per cell

=====

This record from Alexandria describes an optimized crystal structure of AcEuDy. The functional is PBE.

Unit cell a=8.3510 b=8.3510 c=8.3510 alpha=153.34 beta=153.34 gamma=38.05
Atoms (fractional coordinates):
1 Ac 0.0000 0.0000 0.0000
2 Eu 0.6812 0.6812 0.0000
3 Dy 0.3434 0.3434 0.0000

Properties
Space group = I4mm
Spin magnetization = 2.4493 μB/atom
Uncorrected energy = -18.81 eV per cell
Energy of formation from the pure elements = 0.058 eV per atom

=====

This record from Alexandria describes an optimized crystal structure of AcTl12Se7. The functional is PBE.

Unit cell a=9.6221 b=9.6221 c=9.6221 alpha=107.61 beta=107.61 gamma=107.61
Atoms (fractional coordinates):
1 Ac 0.0000 0.0000 0.0000
2 Tl 0.0361 0.3449 0.7850
3 Tl 0.1545 0.4103 0.4572
4 Tl 0.2150 0.9639 0.6551
5 Tl 0.3449 0.7850 0.0361
6 Tl 0.4103 0.4572 0.1545
7 Tl 0.4572 0.1545 0.4103
8 Tl 0.5428 0.8455 0.5897
9 Tl 0.5897 0.5428 0.8455
10 Tl 0.6551 0.2150 0.9639
11 Tl 0.7850 0.0361 0.3449
12 Tl 0.8455 0.5897 0.5428
13 Tl 0.9639 0.6551 0.2150
14 Se 0.0541 0.3579 0.1073
15 Se 0.1073 0.0541 0.3579
16 Se 0.3579 0.1073 0.0541
17 Se 0.5000 0.5000 0.5000
18 Se 0.6421 0.8927 0.9459
19 Se 0.8927 0.9459 0.6421
20 Se 0.9459 0.6421 0.8927

Properties
Space group = R-3
Spin magnetization = 0.0000 μB/atom
ΔE_f (raw) = -49.8 kJ per mole of atoms
Uncorrected energy = -67.22 eV per cell